Here is crystalline CsScZnO3 at its relaxed geometry from Alexandria via LeMat-Bulk. Energies are from PBE.

## Properties
**V**: 213 Å³ per cell
**E_tot**: -0.2230 hartree per atom
**Crystal system**: monoclinic

Structure (extended XYZ):
```
12
Lattice="7.8059 0.0000 0.0000 0.0000 3.4194 0.0000 -3.2293 0.0000 7.9938" Properties=species:S:1:pos:R:3 pbc="T T T"
Cs 1.0133 0.8548 1.9413
Cs 3.5632 2.5645 6.0525
Sc -0.1804 2.5645 7.0105
Sc 4.7570 0.8548 0.9833
Zn -1.2917 0.8548 4.9454
Zn 5.8683 2.5645 3.0484
O -1.5413 0.8548 6.8736
O -0.3944 2.5645 4.4829
O 3.3648 2.5645 0.9900
O 1.2118 0.8548 7.0037
O 4.9710 0.8548 3.5109
O 6.1179 2.5645 1.1201
```


Here is crystalline CsSe2O at its relaxed geometry from Alexandria via LeMat-Bulk. Energies are from PBE.

## Properties
**V**: 184 Å³ per cell
**E_tot**: -0.1235 hartree per atom
**E above lowest polymorph**: 0.3201 eV per atom
**Crystal system**: trigonal

Structure (extended XYZ):
```
4
Lattice="3.0604 1.7669 5.6823 -3.0604 1.7669 5.6823 0.0000 -3.5339 5.6823" Properties=species:S:1:pos:R:3 pbc="T T T"
Cs 0.0000 0.0000 0.0000
Se 0.0000 0.0000 6.7175
Se 0.0000 0.0000 10.3295
O 0.0000 0.0000 8.5235
```


Here is crystalline CsSe2O at its relaxed geometry from Alexandria via LeMat-Bulk. Energies are from PBE.

## Properties
**V**: 105 Å³ per cell
**E_tot**: -0.1252 hartree per atom
**E above lowest polymorph**: 0.2729 eV per atom
**Crystal system**: trigonal

Structure (extended XYZ):
```
4
Lattice="2.2071 1.2743 6.2097 -2.2071 1.2743 6.2097 0.0000 -2.5486 6.2097" Properties=species:S:1:pos:R:3 pbc="T T T"
Cs 0.0000 0.0000 0.0000
Se 0.0000 0.0000 3.4056
Se 0.0000 0.0000 15.2234
O 0.0000 0.0000 9.3145
```


Here is crystalline Cs2SeO at its relaxed geometry from Alexandria via LeMat-Bulk. Energies are from PBE.

## Properties
**V**: 276 Å³ per cell
**E_tot**: -0.1229 hartree per atom
**E above lowest polymorph**: 0.0000 eV per atom
**Crystal system**: tetragonal

Structure (extended XYZ):
```
8
Lattice="-5.5880 5.5880 2.2063 5.5880 -5.5880 2.2063 5.5880 5.5880 -2.2063" Properties=species:S:1:pos:R:3 pbc="T T T"
Cs -0.9323 2.7940 0.5516
Cs 2.7940 4.6557 1.6547
Cs 0.9323 8.3820 0.5516
Cs -2.7940 6.5202 1.6547
Se 5.5880 0.0000 1.1031
Se 0.0000 0.0000 2.2063
O 0.0000 0.0000 0.0000
O 0.0000 5.5880 1.1031
```


Here is crystalline CsSe2O at its relaxed geometry from Alexandria via LeMat-Bulk. Energies are from PBE.

## Properties
**V**: 222 Å³ per cell
**E_tot**: -0.1353 hartree per atom
**E above lowest polymorph**: 0.0000 eV per atom
**Crystal system**: tetragonal

Structure (extended XYZ):
```
8
Lattice="-2.9752 2.9752 6.2792 2.9752 -2.9752 6.2792 2.9752 2.9752 -6.2792" Properties=species:S:1:pos:R:3 pbc="T T T"
Cs 2.9752 1.4876 1.5698
Cs 0.0000 1.4876 4.7094
Se 0.0000 0.0000 0.0000
Se 1.4876 1.4876 -3.1396
Se 1.4876 -1.4876 3.1396
Se 0.0000 2.9752 0.0000
O 2.9752 -1.4876 4.7094
O 0.0000 4.4629 1.5698
```


Here is crystalline Cs2SeO at its relaxed geometry from Alexandria via LeMat-Bulk. Energies are from PBE.

## Properties
**V**: 144 Å³ per cell
**E_tot**: -0.1098 hartree per atom
**E above lowest polymorph**: 0.3563 eV per atom
**Crystal system**: cubic

Structure (extended XYZ):
```
4
Lattice="0.0000 4.1632 4.1632 4.1632 0.0000 4.1632 4.1632 4.1632 0.0000" Properties=species:S:1:pos:R:3 pbc="T T T"
Cs 2.0816 2.0816 2.0816
Cs 6.2448 6.2448 6.2448
Se 0.0000 0.0000 0.0000
O 4.1632 4.1632 4.1632
```


no.,raw formation energy (meV/atom)
1,-2180
2,-166
3,-213
4,-806
5,-486
6,-449